# 1
DFT (PBE) results for Co8Ge2N after structural relaxation.

extended XYZ file:
```
11
Lattice="4.123 0.000 0.000 0.000 5.009 -0.146 -2.061 -2.336 5.869" Properties=species:S:1:pos:R:3 pbc="T T T"
Co 0.000 1.350 4.422
Co 2.061 3.764 1.229
Co 2.061 2.608 3.495
Co 0.000 1.171 -0.034
Co 0.000 0.065 2.228
Co 0.000 -1.092 4.493
Co 2.061 1.322 1.300
Co 2.061 1.502 5.756
Ge 2.061 0.105 3.623
Ge 0.000 2.568 2.099
N 2.061 0.000 0.000
```

Results
Its space-group type is Immm (71).

=====

# 2
DFT (PBE) results for CoGe2N2 after structural relaxation.

extended XYZ file:
```
10
Lattice="6.497 0.000 0.000 0.000 6.497 0.000 0.000 0.000 3.024" Properties=species:S:1:pos:R:3 pbc="T T T"
Ge 2.372 5.620 0.000
Ge 5.620 4.125 0.000
Ge 4.125 0.876 0.000
Ge 0.876 2.372 0.000
Co 0.000 0.000 0.000
Co 3.248 3.248 0.000
N 1.600 4.848 1.512
N 4.848 4.897 1.512
N 4.897 1.649 1.512
N 1.649 1.600 1.512
```

Results
Its space-group type is P4/mbm (127). As for the energy above the most stable polymorph in this dataset: 0 meV per atom.

=====

# 3
DFT (PBE) results for Co4GeN after structural relaxation.

extended XYZ file:
```
12
Lattice="-3.362 1.875 2.556 -3.430 -1.604 -3.336 2.282 -5.101 2.567" Properties=species:S:1:pos:R:3 pbc="T T T"
Co 0.034 -3.286 3.110
Co -3.355 -0.449 0.746
Co -4.543 -1.544 -1.322
Co -1.155 -4.381 1.042
Co -4.401 -2.902 1.049
Co -2.252 -2.491 -0.604
Co -0.109 -1.927 0.739
Co -2.258 -2.339 2.391
Ge -5.480 0.419 -0.291
Ge 0.971 -5.248 2.078
N -0.540 -1.613 2.562
N -0.574 -3.352 -0.384
```

Results
Its space-group type is C2/c (15).

=====

# 4
DFT (PBE) results for CoGe2N2 after structural relaxation.

extended XYZ file:
```
5
Lattice="-1.795 -3.335 -1.316 3.481 -1.270 -1.531 1.636 -3.995 1.784" Properties=species:S:1:pos:R:3 pbc="T T T"
Ge 1.107 -2.866 -0.356
Ge 2.215 -5.734 -0.707
Co 0.000 0.000 0.000
N 0.342 -4.816 -0.478
N 2.980 -3.784 -0.585
```

Results
Its space-group type is I4/mmm (139). As for the energy above the most stable polymorph in this dataset: 46 meV per atom.

=====

# 5
DFT (PBE) results for Co5Ge2N6 after structural relaxation.

extended XYZ file:
```
26
Lattice="2.464 5.144 0.403 -2.464 5.144 0.403 0.000 4.748 12.285" Properties=species:S:1:pos:R:3 pbc="T T T"
Co 0.896 6.576 1.072
Co 0.896 6.087 5.877
Co -0.896 8.461 12.019
Co -0.896 8.950 7.215
Co -0.328 4.516 8.357
Co -0.328 12.894 10.877
Co 0.328 10.520 4.735
Co 0.328 2.143 2.214
Co -0.706 8.705 9.617
Co 0.706 6.331 3.475
Ge 0.376 11.546 7.793
Ge 0.376 5.865 11.441
Ge -0.376 3.491 5.298
Ge -0.376 9.172 1.651
N -2.113 7.882 8.672
N -2.113 9.528 10.562
N 2.113 7.154 4.420
N 2.113 5.509 2.529
N 0.298 9.734 8.527
N 0.298 7.677 10.707
N -0.298 5.303 4.565
N -0.298 7.360 2.384
N -0.174 5.983 7.302
N -0.174 11.427 11.932
N 0.174 9.054 5.790
N 0.174 3.609 1.160
```

Results
Its space-group type is C2/c (15).

=====

# 6
DFT (PBE) results for Co4Ge2N after structural relaxation.

extended XYZ file:
```
7
Lattice="-1.699 1.781 2.792 -3.157 -1.817 -0.762 -0.791 -4.472 4.852" Properties=species:S:1:pos:R:3 pbc="T T T"
Ge -1.931 -1.371 2.180
Ge -3.717 -3.138 4.701
Co -1.291 -3.112 3.680
Co -4.357 -1.396 3.201
Co -1.579 -0.909 -0.381
Co -0.850 0.890 1.396
N 0.000 0.000 0.000
```

Results
Its space-group type is I4/mmm (139).

=====

# 7
DFT (PBE) results for Co4GeN2 after structural relaxation.

extended XYZ file:
```
7
Lattice="-3.146 -3.154 0.647 3.164 -3.196 -0.194 0.621 -2.847 4.801" Properties=species:S:1:pos:R:3 pbc="T T T"
Ge 0.000 0.000 0.000
Co 0.320 -3.008 2.554
Co 0.319 -6.188 2.699
Co 1.582 -1.598 -0.097
Co -1.573 -1.577 0.323
N 0.090 -3.131 0.834
N 0.549 -6.065 4.419
```

Results
Its space-group type is I4/mmm (139).

=====

# 8
DFT (PBE) results for Nd2Co2Ge2N after structural relaxation.

extended XYZ file:
```
7
Lattice="-2.582 -0.463 2.961 2.934 0.118 5.217 2.664 5.646 3.203" Properties=species:S:1:pos:R:3 pbc="T T T"
Nd 3.363 4.521 8.920
Nd -0.347 0.779 2.461
Co 0.888 3.614 6.623
Co 2.128 1.686 4.759
Ge -0.156 1.798 5.428
Ge 3.172 3.502 5.953
N 0.000 0.000 0.000
```

Results
Its space-group type is C2/m (12).

=====

What raw formation energy values result from the calculations? In sequence: 0.063; 0.919; -0.017; 0.966; 0.413; 0.068; 1.029; -0.739 eV per atom.